{"formula": "Pu2SeS", "functional": "GGA-PBE", "state": "relaxed", "e_form_raw_ev_per_atom": -1.386, "n_ef_per_ev_atom": 2.203, "sg": "Fm-3m", "magnetic_moment_mub_per_fu": 11.93, "final_energy_ev_per_cell": -41.8, "e_above_lowest_polymorph_ev_per_atom": 0.2517, "lattice_angstrom": [[4.972, 0.000, 0.000], [2.486, 4.306, 0.000], [2.486, 1.435, 4.060]], "species": ["Pu", "Se", "S", "Pu"], "frac_coords": [[0.250, 0.250, 0.250], [0.000, 0.000, 0.000], [0.500, 0.500, 0.500], [0.750, 0.750, 0.750]]}

***

{"formula": "Ag2OsRh", "functional": "GGA-PBE", "state": "relaxed", "n_ef_per_ev_atom": 0.889, "delta_e_f_ev_per_atom": 0.457, "sg": "Cm", "magnetic_moment_mub_per_fu": 0.00, "final_energy_ev_per_cell": -22.5, "e_above_lowest_polymorph_ev_per_atom": 0.1924, "lattice_angstrom": [[1.374, 4.553, -0.008], [-1.374, 4.553, -0.008], [0.000, 0.726, 5.092]], "species": ["Os", "Rh", "Ag", "Ag"], "frac_coords": [[0.496, 0.496, 0.541], [0.755, 0.755, 0.707], [0.248, 0.248, 0.234], [0.001, 0.001, 0.017]]}

***

{"formula": "Tb5AlAg", "functional": "GGA-PBE", "state": "relaxed", "n_ef_per_ev_atom": 1.377, "delta_e_f_ev_per_atom": -0.032, "sg": "C2/c", "magnetic_moment_mub_per_fu": 0.00, "final_energy_ev_per_cell": -59.9, "lattice_angstrom": [[6.177, -1.068, -0.889], [0.947, 6.197, -0.889], [1.755, 1.264, 9.906]], "species": ["Tb", "Tb", "Tb", "Tb", "Tb", "Tb", "Tb", "Ag", "Al", "Tb", "Tb", "Al", "Ag", "Tb"], "frac_coords": [[0.423, 0.244, 0.000], [0.244, 0.423, 0.500], [0.577, 0.756, 0.000], [0.389, 0.951, 0.330], [0.049, 0.612, 0.170], [0.756, 0.577, 0.500], [0.951, 0.388, 0.830], [0.000, 0.000, 0.000], [0.487, 0.513, 0.750], [0.853, 0.147, 0.250], [0.611, 0.049, 0.670], [0.513, 0.487, 0.250], [0.000, 0.000, 0.500], [0.147, 0.853, 0.750]]}

***

{"formula": "NpMn2Ga", "functional": "GGA-PBE", "state": "relaxed", "n_ef_per_ev_atom": 1.555, "delta_e_f_ev_per_atom": 0.108, "sg": "P4/mmm", "magnetic_moment_mub_per_fu": 0.84, "final_energy_ev_per_cell": -33.9, "lattice_angstrom": [[3.078, 0.000, 0.000], [0.000, 3.078, 0.000], [0.000, 0.000, 6.578]], "species": ["Mn", "Mn", "Np", "Ga"], "frac_coords": [[0.000, 0.000, 0.289], [0.000, 0.000, 0.711], [0.500, 0.500, 0.000], [0.500, 0.500, 0.500]]}

***

{"formula": "Rb3CdHg3", "functional": "GGA-PBE", "state": "relaxed", "n_ef_per_ev_atom": 0.504, "delta_e_f_ev_per_atom": -0.206, "sg": "C2/m", "magnetic_moment_mub_per_fu": 0.00, "final_energy_ev_per_cell": -12.3, "e_above_lowest_polymorph_ev_per_atom": 0.0000, "lattice_angstrom": [[-4.150, -3.296, 0.671], [1.261, -6.456, -2.652], [4.248, -6.685, 14.693]], "species": ["Cd", "Rb", "Hg", "Rb", "Cd", "Rb", "Hg", "Hg", "Rb", "Rb", "Hg", "Hg", "Rb", "Hg"], "frac_coords": [[0.761, 0.075, 0.404], [0.391, 0.295, 0.922], [0.099, 0.881, 0.921], [0.524, 0.336, 0.615], [0.239, 0.925, 0.596], [0.609, 0.705, 0.078], [0.901, 0.119, 0.079], [0.863, 0.736, 0.539], [0.752, 0.731, 0.765], [0.248, 0.269, 0.235], [0.137, 0.264, 0.461], [0.046, 0.145, 0.762], [0.476, 0.664, 0.385], [0.954, 0.855, 0.238]]}

***

{"formula": "Th6Ge3SbTe2", "functional": "GGA-PBE", "state": "relaxed", "e_form_raw_ev_per_atom": -0.969, "n_ef_per_ev_atom": 0.529, "sg": "C2/m", "magnetic_moment_mub_per_fu": 0.00, "final_energy_ev_per_cell": -80.4, "lattice_angstrom": [[4.367, 0.000, 0.000], [0.000, 8.883, 0.218], [-2.183, -2.664, 9.276]], "species": ["Th", "Sb", "Th", "Th", "Th", "Ge", "Ge", "Th", "Th", "Te", "Te", "Ge"], "frac_coords": [[0.328, 0.936, 0.657], [0.500, 0.000, 0.000], [0.659, 0.602, 0.318], [0.672, 0.064, 0.343], [0.993, 0.263, 0.986], [0.500, 0.500, 0.000], [0.168, 0.833, 0.335], [0.341, 0.398, 0.682], [0.007, 0.737, 0.014], [0.167, 0.334, 0.335], [0.833, 0.666, 0.665], [0.832, 0.167, 0.665]]}